A relaxed structure of Y2ScAl2Pt5. Source: Alexandria via LeMat-Bulk, functional PBE.

Computed properties:
E_tot (eV per atom): -6.821
SG: P4/mbm (127)

Cell and atoms, written as POSCAR:
```
Y2ScAl2Pt5
1.0
-1.389 -1.897 2.834
-2.477 -7.414 -6.178
8.889 -4.236 1.520
Y Sc Al Pt
4 2 4 10
direct
0.000 0.676 0.176
0.000 0.324 0.824
0.000 0.176 0.324
0.000 0.824 0.676
0.000 0.000 0.000
0.000 0.500 0.500
0.000 0.123 0.623
0.000 0.877 0.377
0.000 0.623 0.877
0.000 0.377 0.123
0.500 0.209 0.064
0.500 0.791 0.936
0.500 0.064 0.791
0.500 0.709 0.436
0.500 0.936 0.209
0.500 0.291 0.564
0.500 0.564 0.709
0.500 0.436 0.291
0.500 0.500 0.000
0.500 0.000 0.500
```